The following is a PBE calculation of an optimized crystal structure of Na2Ce3NdSe6, from Alexandria.

Geometry as CIF:
```
data_Na2Ce3NdSe6
_chemical_formula_sum 'Na4 Ce6 Nd2 Se12'
_cell_length_a 7.336
_cell_length_b 12.702
_cell_length_c 7.370
_cell_angle_alpha 90.00
_cell_angle_beta 109.31
_cell_angle_gamma 90.00
_symmetry_space_group_name_H-M 'C 1 2/m 1'
_symmetry_Int_Tables_number 12
_symmetry_space_group_name_Hall '-C 2y'
loop_
_atom_site_label
_atom_site_type_symbol
_atom_site_fract_x
_atom_site_fract_y
_atom_site_fract_z
Na1 Na 0.000 0.166 0.000
Ce1 Ce 0.000 0.000 0.500
Ce2 Ce 0.000 0.331 0.500
Nd1 Nd 0.000 0.500 0.000
Se1 Se 0.246 0.500 0.746
Se2 Se 0.249 0.335 0.251
```

Calculated values
Raw formation energy ... -1.683 eV per atom
Spin magnetization ... 3.80 μB per formula unit

The following is a PBE calculation of an optimized crystal structure of Li2AcCeCl8, from Alexandria.

Geometry as CIF:
```
data_Li2AcCeCl8
_chemical_formula_sum 'Li2 Ac1 Ce1 Cl8'
_cell_length_a 6.3322
_cell_length_b 6.3322
_cell_length_c 9.1096
_cell_angle_alpha 90.00
_cell_angle_beta 90.00
_cell_angle_gamma 120.00
_symmetry_space_group_name_H-M 'P -3'
_symmetry_Int_Tables_number 147
_symmetry_space_group_name_Hall '-P 3'
loop_
_atom_site_label
_atom_site_type_symbol
_atom_site_fract_x
_atom_site_fract_y
_atom_site_fract_z
Li1 Li 0.3333 0.6667 0.2573
Ac1 Ac 0.0000 0.0000 0.5000
Ce1 Ce 0.0000 0.0000 0.0000
Cl1 Cl 0.0176 0.7012 0.7874
Cl2 Cl 0.3333 0.6667 0.5018
```

Calculated values
Raw formation energy ... -1.957 eV per atom
Spin magnetization ... 1.00 μB per formula unit

The following is a PBE calculation of an optimized crystal structure of Hf3GeMo, from Alexandria.

Geometry as CIF:
```
data_Hf3GeMo
_chemical_formula_sum 'Hf3 Ge1 Mo1'
_cell_length_a 4.881
_cell_length_b 4.881
_cell_length_c 4.881
_cell_angle_alpha 90.00
_cell_angle_beta 90.00
_cell_angle_gamma 90.00
_symmetry_space_group_name_H-M 'P m -3 m'
_symmetry_Int_Tables_number 221
_symmetry_space_group_name_Hall '-P 4 2 3'
loop_
_atom_site_label
_atom_site_type_symbol
_atom_site_fract_x
_atom_site_fract_y
_atom_site_fract_z
Hf1 Hf 0.000 0.000 0.500
Ge1 Ge 0.000 0.000 0.000
Mo1 Mo 0.500 0.500 0.500
```

Calculated values
Relative energy among the computed polymorphs ... 0.00 eV/f.u.
Spin magnetization ... 0.00 μB per formula unit
Calculated formation energy ... 0.784 eV/atom

The following is a PBE calculation of an optimized crystal structure of Sc2CoRe2, from Alexandria.

Geometry as CIF:
```
data_Sc2CoRe2
_chemical_formula_sum 'Sc4 Co2 Re4'
_cell_length_a 3.663
_cell_length_b 3.663
_cell_length_c 13.249
_cell_angle_alpha 90.00
_cell_angle_beta 90.00
_cell_angle_gamma 90.00
_symmetry_space_group_name_H-M 'I 4/m m m'
_symmetry_Int_Tables_number 139
_symmetry_space_group_name_Hall '-I 4 2'
loop_
_atom_site_label
_atom_site_type_symbol
_atom_site_fract_x
_atom_site_fract_y
_atom_site_fract_z
Sc1 Sc 0.000 0.500 0.250
Co1 Co 0.000 0.000 0.000
Re1 Re 0.000 0.000 0.413
```

Calculated values
Relative energy among the computed polymorphs ... 5.66 eV/f.u.
Spin magnetization ... 0.00 μB per formula unit
Calculated formation energy ... 1.236 eV/atom

The following is a PBE calculation of an optimized crystal structure of Pr3Si4Rh7, from Alexandria.

Geometry as CIF:
```
data_Pr3Si4Rh7
_chemical_formula_sum 'Pr6 Si8 Rh14'
_cell_length_a 15.513
_cell_length_b 4.077
_cell_length_c 9.455
_cell_angle_alpha 90.00
_cell_angle_beta 125.62
_cell_angle_gamma 90.00
_symmetry_space_group_name_H-M 'C 1 2/m 1'
_symmetry_Int_Tables_number 12
_symmetry_space_group_name_Hall '-C 2y'
loop_
_atom_site_label
_atom_site_type_symbol
_atom_site_fract_x
_atom_site_fract_y
_atom_site_fract_z
Pr1 Pr 0.000 0.000 0.000
Pr2 Pr 0.171 0.500 0.667
Si1 Si 0.115 0.000 0.839
Si2 Si 0.165 0.500 0.286
Rh1 Rh 0.000 0.000 0.500
Rh2 Rh 0.004 0.500 0.270
Rh3 Rh 0.164 0.000 0.421
Rh4 Rh 0.195 0.500 0.047
```

Calculated values
Raw formation energy ... -0.905 eV per atom
Spin magnetization ... 0.00 μB per formula unit

The following is a PBE calculation of an optimized crystal structure of In2GaMo2, from Alexandria.

Geometry as CIF:
```
data_In2GaMo2
_chemical_formula_sum 'In4 Ga2 Mo4'
_cell_length_a 6.608
_cell_length_b 6.608
_cell_length_c 4.428
_cell_angle_alpha 90.00
_cell_angle_beta 90.00
_cell_angle_gamma 90.00
_symmetry_space_group_name_H-M 'P 4/m b m'
_symmetry_Int_Tables_number 127
_symmetry_space_group_name_Hall '-P 4 2ab'
loop_
_atom_site_label
_atom_site_type_symbol
_atom_site_fract_x
_atom_site_fract_y
_atom_site_fract_z
In1 In 0.169 0.331 0.000
Ga1 Ga 0.000 0.000 0.500
Mo1 Mo 0.132 0.632 0.500
```

Calculated values
Spin magnetization ... 0.00 μB per formula unit
Calculated formation energy ... 0.166 eV/atom

The following is a PBE calculation of an optimized crystal structure of Ba2Dy3ErO8, from Alexandria.

Geometry as CIF:
```
data_Ba2Dy3ErO8
_chemical_formula_sum 'Ba6 Dy9 Er3 O24'
_cell_length_a 6.9996
_cell_length_b 6.9996
_cell_length_c 18.0129
_cell_angle_alpha 90.00
_cell_angle_beta 90.00
_cell_angle_gamma 120.00
_symmetry_space_group_name_H-M 'R 3 m'
_symmetry_Int_Tables_number 160
_symmetry_space_group_name_Hall 'R 3 -2"'
loop_
_atom_site_label
_atom_site_type_symbol
_atom_site_fract_x
_atom_site_fract_y
_atom_site_fract_z
Ba1 Ba 0.0000 0.0000 0.0000
Ba2 Ba 0.0000 0.0000 0.3790
Dy1 Dy 0.0082 0.5041 0.8781
Er1 Er 0.0000 0.0000 0.7600
O1 O 0.0000 0.0000 0.1471
O2 O 0.0000 0.0000 0.6228
O3 O 0.1692 0.3383 0.4728
O4 O 0.1871 0.3743 0.9415
```

Calculated values
Raw formation energy ... -3.162 eV per atom
Spin magnetization ... 0.00 μB per formula unit

The following is a PBE calculation of an optimized crystal structure of BaCdAu3, from Alexandria.

Geometry as CIF:
```
data_BaCdAu3
_chemical_formula_sum 'Ba2 Cd2 Au6'
_cell_length_a 6.9868
_cell_length_b 6.9868
_cell_length_c 6.1950
_cell_angle_alpha 90.00
_cell_angle_beta 90.00
_cell_angle_gamma 120.00
_symmetry_space_group_name_H-M 'P 63/m m c'
_symmetry_Int_Tables_number 194
_symmetry_space_group_name_Hall '-P 6c 2c'
loop_
_atom_site_label
_atom_site_type_symbol
_atom_site_fract_x
_atom_site_fract_y
_atom_site_fract_z
Ba1 Ba 0.3333 0.6667 0.2500
Cd1 Cd 0.0000 0.0000 0.0000
Au1 Au 0.1986 0.3973 0.7500
```

Calculated values
Relative energy among the computed polymorphs ... 0.00 eV/f.u.
Spin magnetization ... 0.00 μB per formula unit
Calculated formation energy ... -0.502 eV/atom

The following is a PBE calculation of an optimized crystal structure of FeNiHg2, from Alexandria.

Geometry as CIF:
```
data_FeNiHg2
_chemical_formula_sum 'Fe3 Ni3 Hg6'
_cell_length_a 3.0174
_cell_length_b 3.0174
_cell_length_c 27.2569
_cell_angle_alpha 90.00
_cell_angle_beta 90.00
_cell_angle_gamma 120.00
_symmetry_space_group_name_H-M 'R 3 m'
_symmetry_Int_Tables_number 160
_symmetry_space_group_name_Hall 'R 3 -2"'
loop_
_atom_site_label
_atom_site_type_symbol
_atom_site_fract_x
_atom_site_fract_y
_atom_site_fract_z
Fe1 Fe 0.0000 0.0000 0.0000
Ni1 Ni 0.0000 0.0000 0.7256
Hg1 Hg 0.0000 0.0000 0.2490
Hg2 Hg 0.0000 0.0000 0.4731
```

Calculated values
Relative energy among the computed polymorphs ... 0.42 eV/f.u.
Spin magnetization ... 3.65 μB per formula unit
Calculated formation energy ... 0.357 eV/atom

The following is a PBE calculation of an optimized crystal structure of YInFe, from Alexandria.

Geometry as CIF:
```
data_YInFe
_chemical_formula_sum 'Y4 In4 Fe4'
_cell_length_a 6.554
_cell_length_b 6.554
_cell_length_c 6.554
_cell_angle_alpha 90.00
_cell_angle_beta 90.00
_cell_angle_gamma 90.00
_symmetry_space_group_name_H-M 'F -4 3 m'
_symmetry_Int_Tables_number 216
_symmetry_space_group_name_Hall 'F -4 2 3'
loop_
_atom_site_label
_atom_site_type_symbol
_atom_site_fract_x
_atom_site_fract_y
_atom_site_fract_z
Y1 Y 0.000 0.000 0.000
In1 In 0.000 0.000 0.500
Fe1 Fe 0.250 0.250 0.250
```

Calculated values
Spin magnetization ... 1.78 μB per formula unit
Calculated formation energy ... 0.162 eV/atom

The following is a PBE calculation of an optimized crystal structure of K2TeSe, from Alexandria.

Geometry as CIF:
```
data_K2TeSe
_chemical_formula_sum 'K4 Te2 Se2'
_cell_length_a 5.067
_cell_length_b 5.067
_cell_length_c 9.732
_cell_angle_alpha 90.00
_cell_angle_beta 90.00
_cell_angle_gamma 90.00
_symmetry_space_group_name_H-M 'I 4/m m m'
_symmetry_Int_Tables_number 139
_symmetry_space_group_name_Hall '-I 4 2'
loop_
_atom_site_label
_atom_site_type_symbol
_atom_site_fract_x
_atom_site_fract_y
_atom_site_fract_z
K1 K 0.000 0.500 0.250
Te1 Te 0.000 0.000 0.000
Se1 Se 0.000 0.000 0.500
```

Calculated values
Raw formation energy ... -0.699 eV per atom
Relative energy among the computed polymorphs ... 0.55 eV/f.u.
Spin magnetization ... 0.00 μB per formula unit

The following is a PBE calculation of an optimized crystal structure of KSbIr2, from Alexandria.

Geometry as CIF:
```
data_KSbIr2
_chemical_formula_sum 'K1 Sb1 Ir2'
_cell_length_a 3.143
_cell_length_b 3.143
_cell_length_c 8.777
_cell_angle_alpha 90.00
_cell_angle_beta 90.00
_cell_angle_gamma 90.00
_symmetry_space_group_name_H-M 'P 4 m m'
_symmetry_Int_Tables_number 99
_symmetry_space_group_name_Hall 'P 4 -2'
loop_
_atom_site_label
_atom_site_type_symbol
_atom_site_fract_x
_atom_site_fract_y
_atom_site_fract_z
K1 K 0.000 0.000 0.000
Sb1 Sb 0.500 0.500 0.347
Ir1 Ir 0.000 0.000 0.537
Ir2 Ir 0.500 0.500 0.713
```

Calculated values
Raw formation energy ... 0.360 eV per atom
Spin magnetization ... 0.00 μB per formula unit

no.,N(E_F) (states/eV per cell)
1,43.599
2,8.591
3,2.962
4,20.051
5,13.059
6,8.030
7,0.000
8,2.867
9,12.475
10,29.395
11,2.652
12,4.975